*a*
This record from Alexandria describes a relaxed structure of ZnReSbI2. The functional is PBE.

- Crystal system: tetragonal

Geometry as POSCAR:
```
ZnReSbI2
1.0
5.437 0.000 0.000
0.000 5.437 0.000
0.000 0.000 5.505
Zn Re Sb I
1 1 1 2
Cartesian
0.000 0.000 0.000
2.718 2.718 2.753
0.000 0.000 2.753
0.000 2.718 0.000
2.718 0.000 0.000
```

*b*
This record from Alexandria describes a relaxed structure of ZnReSbI2. The functional is PBE.

- Crystal system: tetragonal

Geometry as POSCAR:
```
ZnReSbI2
1.0
5.635 0.000 0.000
0.000 5.635 0.000
0.000 0.000 5.135
Zn Re Sb I
1 1 1 2
Cartesian
0.000 0.000 0.000
2.817 2.817 2.567
2.817 2.817 0.000
0.000 2.817 2.567
2.817 0.000 2.567
```

Stability check: which of them is most stable? *b*.

*a*
This record from Alexandria describes a relaxed structure of ScRe3I. The functional is PBE.

- Crystal system: cubic

Geometry as POSCAR:
```
ScRe3I
1.0
4.797 0.000 0.000
0.000 4.797 0.000
0.000 0.000 4.797
Sc Re I
1 3 1
Cartesian
0.000 0.000 0.000
0.000 2.398 2.398
2.398 0.000 2.398
2.398 2.398 0.000
2.398 2.398 2.398
```

*b*
This record from Alexandria describes a relaxed structure of ScRe3I. The functional is PBE.

- Crystal system: cubic

Geometry as POSCAR:
```
ScRe3I
1.0
4.739 0.000 0.000
0.000 4.739 0.000
0.000 0.000 4.739
Sc Re I
1 3 1
Cartesian
0.000 0.000 0.000
0.000 0.000 2.370
0.000 2.370 0.000
2.370 0.000 0.000
2.370 2.370 2.370
```

Stability check: which of them is most stable? *a*.

*a*
This record from Alexandria describes a relaxed structure of ScReI2. The functional is PBE.

- Crystal system: tetragonal

Geometry as POSCAR:
```
ScReI2
1.0
4.909 0.000 0.000
0.000 4.909 0.000
0.000 0.000 17.131
Sc Re I
4 4 8
Cartesian
0.000 0.000 0.000
0.000 2.454 4.283
2.454 0.000 12.848
2.454 2.454 8.565
0.000 0.000 8.565
0.000 2.454 12.848
2.454 0.000 4.283
2.454 2.454 0.000
1.132 1.227 10.707
1.227 3.586 14.990
1.227 3.777 6.424
1.323 1.227 2.141
3.586 3.682 2.141
3.682 1.132 6.424
3.682 1.323 14.990
3.777 3.682 10.707
```

*b*
This record from Alexandria describes a relaxed structure of ScReI2. The functional is PBE.

- Crystal system: cubic

Geometry as POSCAR:
```
ScReI2
1.0
6.977 0.000 0.000
0.000 6.977 0.000
0.000 0.000 6.977
Sc Re I
4 4 8
Cartesian
0.000 0.000 0.000
0.000 3.488 3.488
3.488 0.000 3.488
3.488 3.488 0.000
0.000 0.000 3.488
0.000 3.488 0.000
3.488 0.000 0.000
3.488 3.488 3.488
1.744 1.744 1.744
1.744 1.744 5.232
1.744 5.232 1.744
1.744 5.232 5.232
5.232 1.744 1.744
5.232 1.744 5.232
5.232 5.232 1.744
5.232 5.232 5.232
```

Stability check: which of them is most stable? *a*.

*a*
This record from Alexandria describes a relaxed structure of Sc2ReI. The functional is PBE.

- Crystal system: cubic

Geometry as POSCAR:
```
Sc2ReI
1.0
6.901 0.000 0.000
0.000 6.901 0.000
0.000 0.000 6.901
Sc Re I
8 4 4
Cartesian
1.725 1.725 1.725
1.725 1.725 5.176
1.725 5.176 1.725
1.725 5.176 5.176
5.176 1.725 1.725
5.176 1.725 5.176
5.176 5.176 1.725
5.176 5.176 5.176
0.000 0.000 0.000
0.000 3.451 3.451
3.451 0.000 3.451
3.451 3.451 0.000
0.000 0.000 3.451
0.000 3.451 0.000
3.451 0.000 0.000
3.451 3.451 3.451
```

*b*
This record from Alexandria describes a relaxed structure of Sc2ReI. The functional is PBE.

- Crystal system: trigonal

Geometry as POSCAR:
```
Sc2ReI
1.0
3.558 0.000 0.000
-1.779 3.081 0.000
0.000 0.000 27.924
Sc Re I
6 3 3
Cartesian
0.000 0.000 2.870
0.000 0.000 25.053
0.000 2.054 15.745
0.000 2.054 21.486
1.779 1.027 6.437
1.779 1.027 12.178
0.000 0.000 13.962
0.000 2.054 4.654
1.779 1.027 23.270
0.000 0.000 0.000
0.000 2.054 18.616
1.779 1.027 9.308
```

Stability check: which of them is most stable? *b*.